# KP2WO8

KP2WO8 after structural relaxation (GGA+U, Alexandria via LeMat-Bulk).

abc: 9.0800 9.0800 9.0800
angles: 32.02 32.02 32.02
Last column: nearest neighbours and their distance in Å.
Positions (direct):
1 K 0.0000 0.0000 0.0000  6 O 3.07
2 P 0.2356 0.2356 0.2356  4 O 1.49-1.57
3 P 0.7644 0.7644 0.7644  4 O 1.49-1.57
4 W 0.5000 0.5000 0.5000  6 O 1.99
5 O 0.1016 0.5321 0.7297  1 P 1.57
6 O 0.2703 0.8984 0.4679  1 P 1.57
7 O 0.2933 0.2933 0.2933  1 P 1.49
8 O 0.4679 0.2703 0.8984  1 P 1.57
9 O 0.5321 0.7297 0.1016  1 P 1.57
10 O 0.7067 0.7067 0.7067  1 P 1.49
11 O 0.7297 0.1016 0.5321  1 P 1.57
12 O 0.8984 0.4679 0.2703  1 P 1.57

Values from the calculation:
Space group: R-3
VASP energy (eV per cell): -84.5